(1)
A plane-wave DFT calculation with PBE-GGA was carried out for a relaxed structure of KYC.

## Properties
- ΔE_f: 16.2 kJ/mol of atoms
- E_tot: -5.43 eV per atom
- Density: 2.3 g/cm3

Cell: 6.0524 8.6449 3.8531 Å, 89.42 90.02 90.03°
Fractional coordinates of all 6 atoms:
K 0.3344 0.6735 0.6269
K 0.8344 0.3973 0.1318
C 0.4454 0.9333 0.1208
Y 0.8344 0.9562 0.1181
C 0.2234 0.9332 0.1209
Y 0.3344 0.0957 0.6174


(2)
A plane-wave DFT calculation with PBE-GGA was carried out for a relaxed structure of MgTi3Cu.

## Properties
- ΔE_f: 144.7 kJ/mol of atoms
- E_tot: -4.38 eV per atom
- Density: 3.7 g/cm3

Cell: 4.7135 4.7135 4.7135 Å, 90.00 90.00 90.00°
Fractional coordinates of all 5 atoms:
Mg 0.0000 0.0000 0.0000
Ti 0.0000 0.5000 0.0000
Ti 0.5000 0.0000 0.0000
Cu 0.5000 0.5000 0.5000
Ti 0.0000 0.0000 0.5000


(3)
A plane-wave DFT calculation with PBE-GGA was carried out for a relaxed structure of Ti2CrCuN.

## Properties
- E_tot: -6.96 eV per atom
- E_form (uncorrected): 605 meV/atom
- Density: 4.9 g/cm3

Cell: 4.6234 3.5831 4.6234 Å, 90.00 90.00 90.00°
Each line ends with the local moment (μB).
Fractional coordinates of all 5 atoms:
N 0.0000 0.5000 0.0000  0.01
Cu 0.5000 0.5000 0.5000  0.02
Cr 0.0000 0.0000 0.0000  -0.28
Ti 0.5000 0.0000 0.0000  0.47
Ti 0.0000 0.0000 0.5000  0.42


(4)
A plane-wave DFT calculation with PBE-GGA was carried out for a relaxed structure of TlRe2PdO8.

## Properties
- E_tot: -7.25 eV per atom
- E_form (uncorrected): -1239 meV/atom
- Density: 5.9 g/cm3

Cell: 5.4827 5.4827 9.3850 Å, 73.02 73.02 60.00°
Each line ends with the local moment (μB).
Fractional coordinates of all 12 atoms:
Re 0.7552 0.7552 0.7345  0.00
Pd 0.5000 0.5000 0.5000  0.81
O 0.0982 0.7384 0.6701  0.03
O 0.6885 0.6885 0.9345  0.00
O 0.2616 0.9018 0.3299  0.03
O 0.5067 0.2616 0.3299  0.03
O 0.9018 0.5067 0.3299  0.03
O 0.3115 0.3115 0.0655  0.00
Re 0.2448 0.2448 0.2655  0.00
Tl 0.0000 0.0000 0.0000  0.00
O 0.4933 0.0982 0.6701  0.03
O 0.7384 0.4933 0.6701  0.03


(5)
A plane-wave DFT calculation with PBE-GGA was carried out for a relaxed structure of Cr2TcN.

## Properties
- E_tot: -9.20 eV per atom
- E_form (uncorrected): 284 meV/atom
- Density: 6.6 g/cm3

Cell: 5.1542 5.1542 5.4740 Å, 61.91 61.91 90.00°
Each line ends with the local moment (μB).
Fractional coordinates of all 8 atoms:
Cr 0.2155 0.6250 0.2500  1.43
Tc 0.0000 0.0000 0.0000  -0.82
N 0.5000 0.5000 0.0000  -0.10
Cr 0.5345 0.1250 0.2500  1.42
Cr 0.8750 0.7845 0.7500  1.40
N 0.2500 0.7500 0.5000  -0.10
Cr 0.3750 0.4655 0.7500  1.44
Tc 0.7500 0.2500 0.5000  -0.83


(6)
A plane-wave DFT calculation with PBE-GGA was carried out for a relaxed structure of Nd2Sn4Pt3Rh.

## Properties
- ΔE_f: -78.5 kJ/mol of atoms
- E_tot: -5.92 eV per atom
- Density: 10.7 g/cm3

Cell: 4.5404 4.5404 10.8893 Å, 90.00 90.00 90.00°
Fractional coordinates of all 10 atoms:
Nd 0.0000 0.5000 0.7423
Sn 0.0000 0.0000 0.0000
Sn 0.5000 0.0000 0.6273
Pt 0.0000 0.5000 0.1338
Rh 0.5000 0.5000 0.5000
Nd 0.5000 0.0000 0.2577
Sn 0.5000 0.5000 0.0000
Sn 0.0000 0.5000 0.3727
Pt 0.5000 0.0000 0.8662
Pt 0.0000 0.0000 0.5000


(7)
A plane-wave DFT calculation with PBE-GGA was carried out for a relaxed structure of ScPbF5.

## Properties
- E_tot: -6.05 eV per atom
- E_form (uncorrected): -3281 meV/atom
- Density: 4.5 g/cm3

Cell: 4.1131 6.0335 6.0335 Å, 72.67 70.07 70.07°
Fractional coordinates of all 7 atoms:
Sc 0.5000 0.5000 0.5000
F 0.5000 0.7886 0.2114
F 0.7269 0.2731 0.2731
F 0.0000 0.5000 0.5000
F 0.2731 0.7269 0.7269
F 0.5000 0.2114 0.7886
Pb 0.0000 0.0000 0.0000


(8)
A plane-wave DFT calculation with PBE-GGA was carried out for a relaxed structure of DyHo2Er4Th.

## Properties
- ΔE_f: 2.9 kJ/mol of atoms
- E_tot: -4.90 eV per atom
- Density: 9.3 g/cm3

Cell: 5.0056 4.9968 11.1049 Å, 63.32 90.00 90.00°
Fractional coordinates of all 8 atoms:
Er 0.0000 0.2487 0.2513
Dy 0.5000 0.5000 0.0000
Th 0.0000 0.4999 0.5001
Er 0.5000 0.2516 0.7483
Er 0.0000 0.7513 0.7487
Er 0.5000 0.7484 0.2517
Ho 0.5000 0.0000 0.5000
Ho 0.0000 0.0001 0.9999


- What is the density in the eighth record?
  9.3 g/cm3